Record 1
Density functional theory data (GGA-PBE) for a geometry-optimized Pa6GaGe structure.

Properties
The energy of formation from the pure elements is -0.227 eV/atom.

a = 6.3541 Å, b = 6.3541 Å, c = 4.5068 Å
α = 90.00°, β = 90.00°, γ = 90.00°
Space group P4/mmm (No. 123)
One atom of each set of equivalent atoms:
Pa 0.0000 0.5000 0.0000 (multiplicity 2)
Pa 0.2466 0.2466 0.5000 (multiplicity 4)
Ga 0.5000 0.5000 0.0000 (multiplicity 1)
Ge 0.0000 0.0000 0.0000 (multiplicity 1)



Record 2
Density functional theory data (GGA-PBE) for a geometry-optimized Ba2NpPbO8 structure.

Properties
The energy relative to the elements, uncorrected comes out at -2.03 eV per atom.

a = 5.0218 Å, b = 5.7114 Å, c = 8.0144 Å
α = 93.76°, β = 90.54°, γ = 95.42°
Space group P-1 (No. 2)
One atom of each set of equivalent atoms:
Ba 0.0908 0.4905 0.2607 (multiplicity 2)
Np 0.5000 0.0000 0.5000 (multiplicity 1)
Pb 0.5000 0.0000 0.0000 (multiplicity 1)
O 0.1745 0.8047 0.5302 (multiplicity 2)
O 0.2265 0.7148 0.9889 (multiplicity 2)
O 0.3566 0.1053 0.2535 (multiplicity 2)
O 0.3794 0.2720 0.6218 (multiplicity 2)



Record 3
Density functional theory data (GGA-PBE) for a geometry-optimized Co2HPd structure.

Properties
The calculation puts the electronic total energy at -5.4645 eV per atom.

a = 5.3820 Å, b = 5.3820 Å, c = 5.8226 Å
α = 90.00°, β = 90.00°, γ = 90.00°
Space group I-42d (No. 122)
One atom of each set of equivalent atoms:
Co 0.1091 0.7500 0.1250 (multiplicity 8)
H 0.0000 0.0000 0.0000 (multiplicity 4)
Pd 0.0000 0.0000 0.5000 (multiplicity 4)



Record 4
Density functional theory data (GGA-PBE) for a geometry-optimized TbTm2Pu structure.

Properties
The energy of formation from the pure elements is 0.133 eV/atom.

a = 4.9301 Å, b = 4.9301 Å, c = 4.9138 Å
α = 90.00°, β = 90.00°, γ = 90.00°
Space group P4/mmm (No. 123)
One atom of each set of equivalent atoms:
Tb 0.0000 0.0000 0.0000 (multiplicity 1)
Tm 0.0000 0.5000 0.5000 (multiplicity 2)
Pu 0.5000 0.5000 0.0000 (multiplicity 1)



| no. | total magnetic moment (μB/cell) |
| --- | --- |
| 1 | 0.0 |
| 2 | 1.1 |
| 3 | 14.3 |
| 4 | 6.3 |